1.
Computed, not measured: crystalline KOsPd3 at its relaxed geometry at the PBE-GGA level of DFT.

abc: 4.808 4.808 4.808
angles: 90.00 90.00 90.00
Site moments in Bohr magnetons follow the coordinates.
Positions (direct):
K1 0.000 0.000 0.000  -0.01
Os1 0.500 0.500 0.500  2.70
Pd1 0.000 0.500 0.000  0.13
Pd2 0.000 0.000 0.500  0.10
Pd3 0.500 0.000 0.000  0.30

DFT total energy in eV/atom: -3.35
Relative energy among the computed polymorphs in eV/atom: 1.401
D(E_F) in states/eV/atom: 1.14

2.
Computed, not measured: crystalline KOsPd3 at its relaxed geometry at the PBE-GGA level of DFT.

abc: 4.930 4.930 4.930
angles: 90.00 90.00 90.00
Positions (direct):
K1 0.500 0.500 0.500
Os1 0.000 0.000 0.000
Pd1 0.000 0.500 0.000
Pd2 0.000 0.000 0.500
Pd3 0.500 0.000 0.000

DFT total energy in eV/atom: -4.75
Relative energy among the computed polymorphs in eV/atom: 0.000
D(E_F) in states/eV/atom: 1.26

3.
Computed, not measured: crystalline K2OsPd at its relaxed geometry at the PBE-GGA level of DFT.

abc: 11.951 11.951 8.789
angles: 47.17 47.17 90.00
Site moments in Bohr magnetons follow the coordinates.
Positions (direct):
K1 0.451 0.125 0.250  0.00
K2 0.299 0.625 0.250  0.00
K3 0.375 0.549 0.750  0.00
K4 0.875 0.701 0.750  0.00
Os1 0.000 0.000 0.000  1.39
Os2 0.750 0.250 0.500  1.39
Pd1 0.500 0.500 0.000  0.14
Pd2 0.250 0.750 0.500  0.14

DFT total energy in eV/atom: -3.49
Relative energy among the computed polymorphs in eV/atom: 0.000
D(E_F) in states/eV/atom: 1.07

4.
Computed, not measured: crystalline KOs3Pd at its relaxed geometry at the PBE-GGA level of DFT.

abc: 4.920 4.920 4.920
angles: 90.00 90.00 90.00
Site moments in Bohr magnetons follow the coordinates.
Positions (direct):
K1 0.500 0.500 0.500  0.00
Os1 0.000 0.500 0.000  2.05
Os2 0.000 0.000 0.500  2.50
Os3 0.500 0.000 0.000  1.39
Pd1 0.000 0.000 0.000  0.56

DFT total energy in eV/atom: -5.45
Relative energy among the computed polymorphs in eV/atom: 0.000
D(E_F) in states/eV/atom: 1.58

5.
Computed, not measured: crystalline K2Os2Pd at its relaxed geometry at the PBE-GGA level of DFT.

abc: 3.891 3.891 8.002
angles: 75.93 75.93 90.00
Site moments in Bohr magnetons follow the coordinates.
Positions (direct):
K1 0.750 0.250 0.500  0.08
K2 0.250 0.750 0.500  0.08
Os1 0.424 0.424 0.151  1.56
Os2 0.576 0.576 0.849  1.56
Pd1 0.000 0.000 0.000  0.16

DFT total energy in eV/atom: -4.07
Relative energy among the computed polymorphs in eV/atom: 0.937
D(E_F) in states/eV/atom: 0.82

6.
Computed, not measured: crystalline KOs3Pd at its relaxed geometry at the PBE-GGA level of DFT.

abc: 4.526 4.526 4.526
angles: 90.00 90.00 90.00
Site moments in Bohr magnetons follow the coordinates.
Positions (direct):
K1 0.000 0.000 0.000  0.00
Os1 0.000 0.500 0.000  0.59
Os2 0.000 0.000 0.500  0.45
Os3 0.500 0.000 0.000  0.70
Pd1 0.500 0.500 0.500  0.24

DFT total energy in eV/atom: -4.16
Relative energy among the computed polymorphs in eV/atom: 1.291
D(E_F) in states/eV/atom: 1.64

7.
Computed, not measured: crystalline KOsPd2 at its relaxed geometry at the PBE-GGA level of DFT.

abc: 5.416 5.416 8.948
angles: 72.38 72.38 90.00
Positions (direct):
K1 0.500 0.500 0.000
K2 0.250 0.750 0.500
Os1 0.000 0.000 0.000
Os2 0.750 0.250 0.500
Pd1 0.867 0.125 0.250
Pd2 0.883 0.625 0.250
Pd3 0.375 0.133 0.750
Pd4 0.875 0.117 0.750

DFT total energy in eV/atom: -4.72
Relative energy among the computed polymorphs in eV/atom: 0.000
D(E_F) in states/eV/atom: 1.11

8.
Computed, not measured: crystalline KOsPd2 at its relaxed geometry at the PBE-GGA level of DFT.

abc: 4.707 4.707 4.707
angles: 60.00 60.00 60.00
Site moments in Bohr magnetons follow the coordinates.
Positions (direct):
K1 0.000 0.000 0.000  0.00
Os1 0.500 0.500 0.500  2.10
Pd1 0.250 0.250 0.250  0.34
Pd2 0.750 0.750 0.750  0.34

DFT total energy in eV/atom: -4.64
Relative energy among the computed polymorphs in eV/atom: 0.076
D(E_F) in states/eV/atom: 0.96

9.
Computed, not measured: crystalline K2Os2Pd at its relaxed geometry at the PBE-GGA level of DFT.

abc: 6.529 6.529 5.651
angles: 90.00 90.00 90.00
Positions (direct):
K1 0.181 0.681 0.500
K2 0.681 0.819 0.500
K3 0.819 0.319 0.500
K4 0.319 0.181 0.500
Os1 0.378 0.878 0.000
Os2 0.878 0.622 0.000
Os3 0.622 0.122 0.000
Os4 0.122 0.378 0.000
Pd1 0.000 0.000 0.000
Pd2 0.500 0.500 0.000

DFT total energy in eV/atom: -5.00
Relative energy among the computed polymorphs in eV/atom: 0.000
D(E_F) in states/eV/atom: 1.39

10.
Computed, not measured: crystalline K2OsPd at its relaxed geometry at the PBE-GGA level of DFT.

abc: 5.375 5.375 5.375
angles: 60.00 60.00 60.00
Site moments in Bohr magnetons follow the coordinates.
Positions (direct):
K1 0.250 0.250 0.250  0.00
K2 0.750 0.750 0.750  0.00
Os1 0.500 0.500 0.500  2.23
Pd1 0.000 0.000 0.000  0.09

DFT total energy in eV/atom: -3.07
Relative energy among the computed polymorphs in eV/atom: 0.414
D(E_F) in states/eV/atom: 1.98

11.
Computed, not measured: crystalline K3OsPd3Se8 at its relaxed geometry at the PBE-GGA level of DFT.

abc: 7.794 7.810 8.647
angles: 116.90 90.00 119.93
Positions (direct):
K1 0.000 0.000 0.000
K2 0.000 0.500 0.000
K3 0.500 0.500 0.000
Os1 0.000 0.000 0.500
Pd1 0.500 0.000 0.500
Pd2 0.500 0.500 0.500
Pd3 0.000 0.500 0.500
Se1 0.279 0.558 0.336
Se2 0.721 0.442 0.664
Se3 0.782 0.563 0.331
Se4 0.218 0.437 0.669
Se5 0.781 0.048 0.331
Se6 0.219 0.952 0.669
Se7 0.267 0.048 0.331
Se8 0.733 0.952 0.669

DFT total energy in eV/atom: -4.34
Formation energy from raw total energies in eV per atom: -0.480
D(E_F) in states/eV/atom: 0.54

12.
Computed, not measured: crystalline KTa2OsPd at its relaxed geometry at the PBE-GGA level of DFT.

abc: 4.579 4.579 4.518
angles: 90.00 90.00 90.00
Positions (direct):
K1 0.000 0.000 0.000
Os1 0.500 0.500 0.500
Pd1 0.000 0.000 0.500
Ta1 0.000 0.500 0.000
Ta2 0.500 0.000 0.000

DFT total energy in eV/atom: -5.31
D(E_F) in states/eV/atom: 1.19

13.
Computed, not measured: crystalline KPm2Os at its relaxed geometry at the PBE-GGA level of DFT.

abc: 3.514 3.514 10.982
angles: 90.00 90.00 90.00
Positions (direct):
K1 0.500 0.500 0.500
Os1 0.500 0.500 0.000
Pm1 0.000 0.000 0.846
Pm2 0.000 0.000 0.154

DFT total energy in eV/atom: -5.40
D(E_F) in states/eV/atom: 0.55

14.
Computed, not measured: crystalline K2OsPt at its relaxed geometry at the PBE-GGA level of DFT.

abc: 4.684 4.684 9.785
angles: 86.46 86.46 35.11
Positions (direct):
K1 0.985 0.985 0.098
K2 0.761 0.761 0.653
Os1 0.509 0.509 0.405
Pt1 0.245 0.245 0.345

DFT total energy in eV/atom: -4.34
Relative energy among the computed polymorphs in eV/atom: 0.056
D(E_F) in states/eV/atom: 0.64

15.
Computed, not measured: crystalline K2OsPt at its relaxed geometry at the PBE-GGA level of DFT.

abc: 5.916 5.916 5.916
angles: 136.20 122.53 74.95
Site moments in Bohr magnetons follow the coordinates.
Positions (direct):
K1 0.028 0.028 0.000  0.00
K2 0.724 0.224 0.500  0.00
Os1 0.423 0.423 0.000  0.38
Pt1 0.325 0.825 0.500  0.04

DFT total energy in eV/atom: -4.15
Relative energy among the computed polymorphs in eV/atom: 0.246
D(E_F) in states/eV/atom: 0.87

16.
Computed, not measured: crystalline KOs2Pt at its relaxed geometry at the PBE-GGA level of DFT.

abc: 4.647 3.859 3.859
angles: 90.00 90.00 90.00
Positions (direct):
K1 0.500 0.000 0.500
Os1 0.000 0.000 0.000
Os2 0.000 0.500 0.500
Pt1 0.500 0.500 0.000

DFT total energy in eV/atom: -5.94
Relative energy among the computed polymorphs in eV/atom: 0.938
D(E_F) in states/eV/atom: 1.34

17.
Computed, not measured: crystalline KOs2Pt at its relaxed geometry at the PBE-GGA level of DFT.

abc: 5.188 5.188 2.631
angles: 90.00 90.00 90.00
Site moments in Bohr magnetons follow the coordinates.
Positions (direct):
K1 0.000 0.500 0.500  0.00
Os1 0.000 0.000 0.000  0.73
Os2 0.500 0.500 0.000  0.73
Pt1 0.500 0.000 0.500  0.16

DFT total energy in eV/atom: -5.84
Relative energy among the computed polymorphs in eV/atom: 1.043
D(E_F) in states/eV/atom: 1.38

18.
Computed, not measured: crystalline KOs2Pt at its relaxed geometry at the PBE-GGA level of DFT.

abc: 2.828 2.828 9.216
angles: 90.00 90.00 90.00
Positions (direct):
K1 0.500 0.500 0.744
Os1 0.000 0.000 0.063
Os2 0.500 0.500 0.240
Pt1 0.000 0.000 0.453

DFT total energy in eV/atom: -6.88
Relative energy among the computed polymorphs in eV/atom: 0.000
D(E_F) in states/eV/atom: 1.23

19.
Computed, not measured: crystalline K2OsPt at its relaxed geometry at the PBE-GGA level of DFT.

abc: 11.968 11.968 11.968
angles: 14.36 14.36 14.36
Site moments in Bohr magnetons follow the coordinates.
Positions (direct):
K1 0.018 0.018 0.018  0.03
K2 0.233 0.233 0.233  0.03
Os1 0.487 0.487 0.487  0.18
Pt1 0.762 0.762 0.762  0.10

DFT total energy in eV/atom: -3.85
Relative energy among the computed polymorphs in eV/atom: 0.543
D(E_F) in states/eV/atom: 1.46

20.
Computed, not measured: crystalline KOs2Pt at its relaxed geometry at the PBE-GGA level of DFT.

abc: 10.407 10.407 10.407
angles: 15.42 15.42 15.42
Positions (direct):
K1 0.752 0.752 0.752
Os1 0.986 0.986 0.986
Os2 0.253 0.253 0.253
Pt1 0.509 0.509 0.509

DFT total energy in eV/atom: -6.85
Relative energy among the computed polymorphs in eV/atom: 0.033
D(E_F) in states/eV/atom: 1.24